{"formula": "Mn2Ag2PdO6", "functional": "PBE+U", "state": "optimized geometry", "cell": [[5.3405, -0.0790, -0.2025], [-2.7082, 4.6035, -0.2025], [-1.2155, -2.0894, 6.0097]], "species": ["O", "O", "O", "O", "O", "O", "Mn", "Mn", "Pd", "Ag", "Ag"], "frac_coords": [[0.4424, 0.1126, 0.6757], [0.5576, 0.8874, 0.3243], [0.1126, 0.4424, 0.6757], [0.8874, 0.5576, 0.3243], [0.2145, 0.2145, 0.3019], [0.7855, 0.7855, 0.6981], [0.6637, 0.3363, 0.5000], [0.3363, 0.6637, 0.5000], [0.0000, 0.0000, 0.5000], [0.1781, 0.8219, 0.0000], [0.8219, 0.1781, 0.0000]], "magmom_total_mub_per_fu": 8.006, "final_energy_ev_per_atom": -5.839, "crystal_system": "monoclinic", "volume_a3_per_cell": 142}